[1]
A geometry-optimized GdErZnRu structure, computed with GGA-PBE.

Cell: 4.916 4.916 4.916 Å, 60.00 60.00 60.00°
Last column: magnetic moment on the atom in μB.
Fractional coordinates of all 4 atoms:
Ru: 0.750 0.750 0.750  -0.10
Zn: 0.250 0.250 0.250  0.00
Gd: 0.000 0.000 0.000  7.02
Er: 0.500 0.500 0.500  0.02

Calculated total energy (eV per cell): -30.60

[2]
A geometry-optimized BaCu2Cl structure, computed with GGA-PBE.

Cell: 5.958 5.958 5.958 Å, 45.88 45.88 45.88°
Fractional coordinates of all 4 atoms:
Ba: 0.250 0.250 0.250
Cu: 0.047 0.047 0.047
Cu: 0.453 0.453 0.453
Cl: 0.750 0.750 0.750

ΔE_f (raw) (meV per atom): 5

[3]
A geometry-optimized Cs2TaCl structure, computed with GGA-PBE.

Cell: 6.235 6.235 6.235 Å, 60.00 60.00 60.00°
Last column: magnetic moment on the atom in μB.
Fractional coordinates of all 4 atoms:
Cs: 0.250 0.250 0.250  0.04
Cs: 0.750 0.750 0.750  0.04
Cl: 0.000 0.000 0.000  0.00
Ta: 0.500 0.500 0.500  2.38

ΔE_f (raw) (meV per atom): 749

[4]
A geometry-optimized ScMn2Be structure, computed with GGA-PBE.

Cell: 3.673 3.831 3.831 Å, 90.00 90.00 90.00°
Last column: magnetic moment on the atom in μB.
Fractional coordinates of all 4 atoms:
Sc: 0.500 0.500 0.000  -0.23
Be: 0.500 0.000 0.500  -0.11
Mn: 0.000 0.000 0.000  2.52
Mn: 0.000 0.500 0.500  2.52

Calculated total energy (eV per cell): -27.92

[5]
A geometry-optimized ScTc2Ru structure, computed with GGA-PBE.

Cell: 5.207 5.207 4.531 Å, 64.15 64.15 34.54°
Fractional coordinates of all 4 atoms:
Ru: 0.504 0.504 0.496
Sc: 0.749 0.749 0.751
Tc: 0.992 0.992 0.008
Tc: 0.255 0.255 0.245

Calculated total energy (eV per cell): -36.53

[6]
A geometry-optimized SmErGePt structure, computed with GGA-PBE.

Cell: 3.986 4.266 5.816 Å, 90.00 110.04 90.00°
Fractional coordinates of all 4 atoms:
Sm: 0.861 0.500 0.721
Er: 0.139 0.000 0.279
Ge: 0.584 0.500 0.167
Pt: 0.417 0.000 0.833

Calculated total energy (eV per cell): -24.11